1.
## Bi2RhW (GGA-PBE)

Data for Bi2RhW after structural relaxation.

Results
offset from the most stable computed form = 0.000 eV per atom
total moment = 0.00 Bohr magnetons per cell

Lattice parameters (Å, degrees): 6.890 6.890 6.890 90.00 90.00 90.00
Space group Fm-3m (No. 225)
One atom of each set of equivalent atoms:
Bi 0.250 0.250 0.250 (multiplicity 8)
Rh 0.000 0.000 0.000 (multiplicity 4)
W 0.000 0.000 0.500 (multiplicity 4)

---

2.
## Pm3RhI (GGA-PBE)

Data for Pm3RhI after structural relaxation.

Results
raw formation energy = -0.613 eV/atom
total moment = 0.00 Bohr magnetons per cell

Lattice parameters (Å, degrees): 3.952 9.615 8.520 90.00 90.00 90.00
Space group Pmmn (No. 59, origin choice 2)
One atom of each set of equivalent atoms:
Pm 0.250 0.072 0.157 (multiplicity 4)
Pm 0.250 0.250 0.764 (multiplicity 2)
Rh 0.250 0.750 0.012 (multiplicity 2)
I 0.250 0.750 0.563 (multiplicity 2)

---

3.
## Tl5Bi (GGA-PBE)

Data for Tl5Bi after structural relaxation.

Results
offset from the most stable computed form = 0.000 eV per atom
total moment = 0.00 Bohr magnetons per cell

Lattice parameters (Å, degrees): 3.480 3.480 15.514 90.00 90.00 90.00
Space group P4/mmm (No. 123)
One atom of each set of equivalent atoms:
Tl 0.000 0.000 0.000 (multiplicity 1)
Tl 0.000 0.000 0.335 (multiplicity 2)
Tl 0.500 0.500 0.162 (multiplicity 2)
Bi 0.500 0.500 0.500 (multiplicity 1)

---

4.
## TaCuTe (GGA-PBE)

Data for TaCuTe after structural relaxation.

Results
raw formation energy = 0.207 eV/atom
offset from the most stable computed form = 0.000 eV per atom
total moment = 0.00 Bohr magnetons per cell

Lattice parameters (Å, degrees): 3.420 3.420 9.156 90.00 90.00 90.00
Space group I4mm (No. 107)
One atom of each set of equivalent atoms:
Ta 0.000 0.000 0.000 (multiplicity 2)
Cu 0.000 0.000 0.659 (multiplicity 2)
Te 0.000 0.000 0.327 (multiplicity 2)